## LaMn2Br (PBE)

Data for LaMn2Br after structural relaxation.

## Properties
Spin magnetization: 7.97 μB per formula unit
Volume: 97 Å³/cell
ΔE_f (raw): 108 kJ/mol of formula units

Unit cell a=3.470 b=3.470 c=8.051 alpha=90.00 beta=90.00 gamma=90.00
Sites, in units of the cell vectors:
1 La 0.000 0.000 0.000
2 Mn 0.500 0.500 0.265
3 Mn 0.500 0.500 0.735
4 Br 0.000 0.000 0.500